Record 1
{
  "formula": "DySc4Ni2",
  "functional": "PBE",
  "state": "optimized geometry",
  "cell": [[7.1630, 0.0000, 0.0000], [0.0000, 5.8820, 0.0000], [-2.8942, 0.0000, 7.0000]],
  "species": ["Dy", "Dy", "Sc", "Sc", "Sc", "Sc", "Sc", "Sc", "Sc", "Sc", "Ni", "Ni", "Ni", "Ni"],
  "fractional_positions": [[0.1488, 0.2500, 0.0199], [0.8512, 0.7500, 0.9801], [0.0250, 0.2500, 0.3941], [0.2592, 0.7500, 0.3539], [0.4068, 0.0031, 0.7654], [0.4068, 0.4969, 0.7654], [0.5932, 0.5031, 0.2346], [0.5932, 0.9969, 0.2346], [0.7408, 0.2500, 0.6461], [0.9750, 0.7500, 0.6059], [0.2647, 0.7500, 0.9927], [0.3823, 0.2500, 0.4237], [0.6177, 0.7500, 0.5763], [0.7353, 0.2500, 0.0073]],
  "total_energy_ry_per_atom": -0.45114,
  "delta_e_f_ev_per_atom": -0.211,
  "density_g_cm3": 5.2
}



Record 2
{
  "formula": "Dy2ScNi9",
  "functional": "PBE",
  "state": "optimized geometry",
  "cell": [[4.9030, 0.0000, 0.0000], [-2.4515, 4.2462, 0.0000], [0.0000, 0.0000, 16.2087]],
  "species": ["Dy", "Dy", "Dy", "Dy", "Sc", "Sc", "Ni", "Ni", "Ni", "Ni", "Ni", "Ni", "Ni", "Ni", "Ni", "Ni", "Ni", "Ni", "Ni", "Ni", "Ni", "Ni", "Ni", "Ni"],
  "fractional_positions": [[0.3333, 0.6667, 0.0440], [0.3333, 0.6667, 0.4560], [0.6667, 0.3333, 0.5440], [0.6667, 0.3333, 0.9560], [0.3333, 0.6667, 0.2500], [0.6667, 0.3333, 0.7500], [0.0000, 0.0000, 0.0000], [0.0000, 0.0000, 0.2500], [0.0000, 0.0000, 0.5000], [0.0000, 0.0000, 0.7500], [0.1670, 0.3340, 0.6281], [0.1670, 0.3340, 0.8719], [0.1670, 0.8330, 0.6281], [0.1670, 0.8330, 0.8719], [0.3333, 0.6667, 0.7500], [0.3340, 0.1670, 0.1281], [0.3340, 0.1670, 0.3719], [0.6660, 0.8330, 0.6281], [0.6660, 0.8330, 0.8719], [0.6667, 0.3333, 0.2500], [0.8330, 0.1670, 0.1281], [0.8330, 0.1670, 0.3719], [0.8330, 0.6660, 0.1281], [0.8330, 0.6660, 0.3719]],
  "total_energy_ry_per_atom": -0.44239,
  "delta_e_f_ev_per_atom": -0.388,
  "density_g_cm3": 8.8
}